(1)
AcPbBr | the Alexandria database | GGA-PBE | optimized geometry; size of the total moment = 0.0 μB/f.u.; theoretical density = 8.0 g cm⁻³; energy relative to the lowest polymorph listed for this composition = 6.9 kJ per mole of atoms
1.0
-4.236 -3.104 1.421
3.880 2.118 3.171
-3.025 9.382 -0.637
Ac Pb Br
2 2 2
Cartesian
-2.879 0.606 2.323 Ac
-0.502 7.791 1.633 Ac
-2.200 3.614 0.605 Pb
-1.181 4.783 3.351 Pb
-3.866 7.302 1.267 Br
0.485 1.095 2.688 Br

(2)
CrAg2Br | the Alexandria database | GGA-PBE | optimized geometry; size of the total moment = 4.2 μB/f.u.; theoretical density = 6.6 g cm⁻³; energy relative to the lowest polymorph listed for this composition = 25.8 kJ per mole of atoms
1.0
-7.885 0.738 -1.408
-1.529 -5.471 5.694
-4.853 -0.397 3.996
Cr Br Ag
2 2 4
Cartesian
-4.707 -2.367 2.143 Cr
-5.544 -4.118 5.917 Cr
0.000 0.000 0.000 Br
-8.722 -1.013 2.366 Br
-6.259 -0.329 0.844 Ag
-3.228 -3.420 4.369 Ag
-7.184 -2.124 4.658 Ag
-11.863 -4.388 6.695 Ag

(3)
ZrTlHg2 | the Alexandria database | GGA-PBE | optimized geometry; size of the total moment = 0.0 μB/f.u.; theoretical density = 12.4 g cm⁻³; energy relative to the elements = 37 kJ/mol of formula units
1.0
-3.077 3.562 -3.289
-4.697 -2.360 -2.313
2.230 0.262 5.285
Hg Tl Zr
2 1 1
Cartesian
0.000 0.000 0.000 Hg
-3.177 -0.749 0.086 Hg
-3.887 0.601 -2.801 Tl
-2.367 2.212 -0.403 Zr

(4)
Ba3CaTi2O8 | the Alexandria database | GGA-PBE | optimized geometry; size of the total moment = 0.0 μB/f.u.; theoretical density = 4.6 g cm⁻³; energy = -7.539 eV/atom
1.0
6.046 0.000 0.000
-3.023 5.236 0.000
0.000 0.000 7.651
Ba Ca Ti O
3 1 2 8
Cartesian
0.000 3.491 5.018 Ba
3.023 1.745 2.633 Ba
0.000 0.000 0.000 Ba
0.000 0.000 3.826 Ca
0.000 3.491 1.627 Ti
3.023 1.745 6.024 Ti
0.000 3.491 7.486 O
3.023 1.745 0.166 O
-1.465 4.337 2.352 O
4.488 0.899 5.299 O
0.000 1.799 2.352 O
3.023 3.437 5.299 O
1.465 4.337 2.352 O
1.558 0.899 5.299 O

(5)
Ho3Sc4Tl2 | the Alexandria database | GGA-PBE | optimized geometry; size of the total moment = 0.0 μB/f.u.; theoretical density = 7.4 g cm⁻³; energy relative to the elements = -20 kJ/mol of formula units
1.0
-1.999 3.378 4.842
-8.908 -1.200 -1.117
-2.020 -6.800 5.633
Ho Sc Tl
6 8 4
Cartesian
-2.416 1.825 5.287 Ho
-10.533 -5.553 7.449 Ho
-10.511 -6.447 4.071 Ho
-2.394 0.931 1.908 Ho
-5.738 -3.339 3.689 Ho
-7.189 -1.283 5.668 Ho
-8.947 -1.765 2.745 Sc
-6.661 -1.555 0.586 Sc
-3.980 -2.858 6.613 Sc
-6.267 -3.067 8.772 Sc
-2.528 -3.165 2.729 Sc
-7.325 -4.833 6.241 Sc
-10.399 -1.458 6.629 Sc
-5.602 0.210 3.117 Sc
-3.324 -0.954 4.606 Tl
-9.103 -3.198 8.642 Tl
-9.603 -3.668 4.752 Tl
-3.824 -1.425 0.716 Tl

(6)
Cs2SrInCl5 | the Alexandria database | GGA-PBE | optimized geometry; size of the total moment = 0.0 μB/f.u.; theoretical density = 2.9 g cm⁻³; energy = -3.551 eV/atom
1.0
5.598 0.000 0.000
0.000 5.598 0.000
0.000 0.000 11.871
Cs Sr In Cl
2 1 1 5
Cartesian
2.799 2.799 3.325 Cs
2.799 2.799 8.547 Cs
0.000 0.000 5.936 Sr
0.000 0.000 0.000 In
0.000 2.799 5.936 Cl
2.799 0.000 5.936 Cl
0.000 0.000 8.844 Cl
0.000 0.000 3.027 Cl
2.799 2.799 0.000 Cl

(7)
Zr3SiSb | the Alexandria database | GGA-PBE | optimized geometry; size of the total moment = 0.0 μB/f.u.; theoretical density = 5.8 g cm⁻³; energy relative to the lowest polymorph listed for this composition = 0.0 kJ per mole of atoms
1.0
-2.846 -3.929 0.952
3.928 -2.963 -0.483
0.954 0.478 4.827
Sb Si Zr
1 1 3
Cartesian
1.018 -3.207 2.648 Sb
0.000 0.000 0.000 Si
1.964 -1.481 -0.242 Zr
0.477 0.239 2.414 Zr
-1.423 -1.965 0.476 Zr

(8)
PaTlS4 | the Alexandria database | GGA-PBE | optimized geometry; size of the total moment = 0.0 μB/f.u.; theoretical density = 4.8 g cm⁻³; energy relative to the lowest polymorph listed for this composition = 17.7 kJ per mole of atoms
1.0
5.207 0.000 0.000
-2.604 10.006 0.164
0.000 -2.839 7.424
Pa Tl S
2 2 8
Cartesian
0.000 2.982 2.220 Pa
2.604 4.184 5.368 Pa
0.000 0.633 5.614 Tl
2.604 6.533 1.974 Tl
0.000 0.548 3.127 S
0.000 -1.115 7.387 S
2.604 3.188 2.806 S
2.604 1.728 6.243 S
0.000 5.439 1.345 S
0.000 3.978 4.783 S
2.604 8.282 0.201 S
2.604 6.619 4.462 S

(9)
TaTiAl2 | the Alexandria database | GGA-PBE | optimized geometry; size of the total moment = 0.0 μB/f.u.; theoretical density = 6.9 g cm⁻³; energy relative to the elements = -49 kJ/mol of formula units; energy relative to the lowest polymorph listed for this composition = 19.1 kJ per mole of atoms
1.0
2.904 0.000 0.000
1.452 2.515 0.000
1.452 0.838 9.364
Ti Al Ta
1 2 1
Cartesian
0.000 0.000 0.000 Ti
4.356 2.515 7.026 Al
1.452 0.838 2.338 Al
2.904 1.677 4.682 Ta